Crystalline Fe2HgHPd at its relaxed geometry. Source: Alexandria, functional PBE.

Calculated values
For the magnetization, the calculation gives 5.119 Bohr magnetons per cell. The density of states at the Fermi level comes out at 4.22 states/eV/f.u. Its total energy is -25.08 eV per cell. The space group is No. 123.

abc: 3.903 3.903 4.079
angles: 90.00 90.00 90.00
Site moments in Bohr magnetons follow the coordinates.
Element x y z (fractional)
Fe: 0.000 0.500 0.000  2.62
Fe: 0.500 0.000 0.000  2.62
Pd: 0.000 0.000 0.500  0.03
Hg: 0.500 0.500 0.500  -0.05
H: 0.000 0.000 0.000  -0.02

Crystalline ScRuSeBr2 at its relaxed geometry. Source: Alexandria, functional PBE.

Calculated values
For the magnetization, the calculation gives 0.000 Bohr magnetons per cell. The density of states at the Fermi level comes out at 4.01 states/eV/f.u. For the raw formation energy, the calculation gives 12 kJ/mol of formula units. The space group is No. 123.

abc: 4.960 4.960 4.935
angles: 90.00 90.00 90.00
Element x y z (fractional)
Se: 0.000 0.000 0.500
Ru: 0.000 0.000 0.000
Br: 0.500 0.000 0.000
Br: 0.000 0.500 0.000
Sc: 0.500 0.500 0.500

Crystalline CaThCdPd at its relaxed geometry. Source: Alexandria, functional PBE.

Calculated values
For the magnetization, the calculation gives 0.000 Bohr magnetons per cell. The density of states at the Fermi level comes out at 3.57 states/eV/f.u. The space group is No. 216. Its formation energy is -364 meV/atom.

abc: 5.242 5.242 5.242
angles: 60.00 60.00 60.00
Element x y z (fractional)
Th: 0.500 0.500 0.500
Ca: 0.000 0.000 0.000
Cd: 0.750 0.750 0.750
Pd: 0.250 0.250 0.250

Crystalline CePaSi2 at its relaxed geometry. Source: Alexandria, functional PBE.

Calculated values
For the magnetization, the calculation gives 1.625 Bohr magnetons per cell. The density of states at the Fermi level comes out at 6.54 states/eV/f.u. For the raw formation energy, the calculation gives -167 kJ/mol of formula units. The space group is No. 63.

abc: 5.519 5.519 5.867
angles: 90.00 90.00 102.50
Site moments in Bohr magnetons follow the coordinates.
Element x y z (fractional)
Pa: 0.868 0.122 0.750  0.11
Pa: 0.122 0.868 0.250  0.11
Si: 0.988 0.342 0.250  -0.01
Si: 0.002 0.648 0.750  -0.01
Ce: 0.495 0.495 0.500  0.58
Ce: 0.495 0.495 0.000  0.58
Si: 0.342 0.988 0.750  -0.01
Si: 0.648 0.002 0.250  -0.01

Crystalline CuPdN2 at its relaxed geometry. Source: Alexandria, functional PBE.

Calculated values
For the magnetization, the calculation gives 0.000 Bohr magnetons per cell. The density of states at the Fermi level comes out at 1.79 states/eV/f.u. For the raw formation energy, the calculation gives 536 kJ/mol of formula units. The space group is No. 225.

abc: 3.807 3.807 3.807
angles: 60.00 60.00 60.00
Element x y z (fractional)
Pd: 0.500 0.500 0.500
Cu: 0.000 0.000 0.000
N: 0.750 0.750 0.750
N: 0.250 0.250 0.250

Crystalline NaSr6Pt at its relaxed geometry. Source: Alexandria, functional PBE.

Calculated values
For the magnetization, the calculation gives 0.000 Bohr magnetons per cell. The density of states at the Fermi level comes out at 5.67 states/eV/f.u. The space group is No. 15. Its formation energy is -280 meV/atom.

abc: 7.374 8.187 14.579
angles: 100.75 90.00 116.77
Element x y z (fractional)
Pt: 0.000 0.500 0.500
Sr: 0.992 0.149 0.392
Sr: 0.008 0.851 0.608
Sr: 0.435 0.715 0.467
Sr: 0.280 0.715 0.967
Pt: 0.500 0.500 0.000
Sr: 0.720 0.285 0.033
Sr: 0.697 0.569 0.824
Sr: 0.128 0.431 0.676
Sr: 0.842 0.851 0.108
Sr: 0.303 0.431 0.176
Sr: 0.565 0.285 0.533
Na: 0.418 0.000 0.250
Na: 0.582 0.000 0.750
Sr: 0.158 0.149 0.892
Sr: 0.872 0.569 0.324